DFT (GGA-PBE) results for an optimized crystal structure of Y4ScCl.

Cell: 9.2487 9.2487 9.2487 Å, 90.00 90.00 90.00°
With the nearest neighbours (Å) after each atom.
Space group F-43m (No. 216)
One atom of each set of equivalent atoms:
Y 0.1227 0.1227 0.3773 x16  6 Y 3.21-3.33
Sc 0.2500 0.2500 0.7500 x4  12 Y 3.83, 4 Cl 4.00
Cl 0.0000 0.0000 0.0000 x4  12 Y 3.84, 4 Sc 4.00

Computed properties:
**Formation energy from raw total energies**: 0.360 eV per atom
**Energy**: -127.49 eV for the cell shown

DFT (GGA-PBE) results for an optimized crystal structure of Y2ScCl.

Cell: 12.3607 3.3364 5.7679 Å, 90.00 117.70 90.00°
With the nearest neighbours (Å) after each atom.
Space group Cm (No. 8)
One atom of each set of equivalent atoms:
Y 0.0000 0.0000 0.0000 x2  4 Cl 3.32-3.36, 6 Y 3.34-3.67, 2 Sc 3.47
Y 0.2074 0.0000 0.7062 x2  2 Cl 2.99, 2 Y 3.34
Sc 0.2777 0.5000 0.2762 x2  2 Cl 2.78
Cl 0.4807 0.0000 0.4764 x2  2 Sc 2.78, 2 Y 2.99

Computed properties:
**Formation energy from raw total energies**: -0.411 eV per atom
**Energy**: -45.50 eV for the cell shown
**Distance to the lowest polymorph of the same formula**: 0.220 eV/atom

DFT (GGA-PBE) results for an optimized crystal structure of YSc2Cl.

Cell: 3.4555 3.4555 28.2075 Å, 90.00 90.00 120.00°
With the nearest neighbours (Å) after each atom.
Space group R3m (No. 160, hexagonal axes)
One atom of each set of equivalent atoms:
Y 0.0000 0.0000 0.0000 x3  3 Cl 3.00, 3 Sc 3.36
Sc 0.0000 0.0000 0.2375 x3  9 Sc 3.18-3.46, 3 Y 3.36
Sc 0.0000 0.0000 0.4832 x3  3 Cl 2.82
Cl 0.0000 0.0000 0.7461 x3  3 Sc 2.82, 3 Y 3.00

Computed properties:
**Formation energy from raw total energies**: -0.604 eV per atom
**Energy**: -70.17 eV for the cell shown
**Distance to the lowest polymorph of the same formula**: 0.000 eV/atom

DFT (GGA-PBE) results for an optimized crystal structure of YSc2Cl.

Cell: 5.8894 10.1238 3.4333 Å, 90.00 90.00 90.00°
With the nearest neighbours (Å) after each atom.
Space group Cmmm (No. 65)
One atom of each set of equivalent atoms:
Y 0.0000 0.0000 0.0000 x2  2 Cl 2.94
Sc 0.2500 0.2500 0.5000 x4  2 Sc 2.94
Cl 0.0000 0.5000 0.0000 x2  2 Y 2.94

Computed properties:
**Formation energy from raw total energies**: -0.134 eV per atom
**Energy**: -43.02 eV for the cell shown
**Distance to the lowest polymorph of the same formula**: 0.470 eV/atom

DFT (GGA-PBE) results for an optimized crystal structure of YSc2Cl.

Cell: 4.0733 4.0733 6.1816 Å, 90.00 90.00 90.00°
With the nearest neighbours (Å) after each atom.
Space group P4/mmm (No. 123)
One atom of each set of equivalent atoms:
Y 0.0000 0.0000 0.0000 x1  4 Cl 2.88
Sc 0.0000 0.5000 0.5000 x2  4 Sc 2.88
Cl 0.5000 0.5000 0.0000 x1  4 Y 2.88

Computed properties:
**Formation energy from raw total energies**: -0.077 eV per atom
**Energy**: -21.28 eV for the cell shown
**Distance to the lowest polymorph of the same formula**: 0.526 eV/atom

DFT (GGA-PBE) results for an optimized crystal structure of YSc2Cl.

Cell: 3.2967 4.9362 11.6377 Å, 90.00 90.00 90.00°
With the nearest neighbours (Å) after each atom.
Space group Amm2 (No. 38)
One atom of each set of equivalent atoms:
Y 0.0000 0.0000 0.0000 x2  4 Cl 2.99, 1 Sc 3.22, 2 Y 3.30
Sc 0.0000 0.0000 0.2765 x2  2 Cl 2.79, 4 Sc 3.13
Sc 0.5000 0.0000 0.6919 x2  1 Cl 2.58
Cl 0.5000 0.0000 0.4701 x2  3 Sc 2.58-2.79

Computed properties:
**Formation energy from raw total energies**: -0.475 eV per atom
**Energy**: -45.75 eV for the cell shown
**Distance to the lowest polymorph of the same formula**: 0.129 eV/atom

DFT (GGA-PBE) results for an optimized crystal structure of Y2ScCl.

Cell: 7.6573 7.6573 7.6573 Å, 90.00 90.00 90.00°
With the nearest neighbours (Å) after each atom.
Space group Fm-3m (No. 225)
One atom of each set of equivalent atoms:
Y 0.2500 0.2500 0.2500 x8  4 Cl 3.32, 4 Sc 3.32
Sc 0.0000 0.0000 0.0000 x4  8 Y 3.32
Cl 0.0000 0.0000 0.5000 x4  8 Y 3.32

Computed properties:
**Formation energy from raw total energies**: 0.090 eV per atom
**Energy**: -82.98 eV for the cell shown
**Distance to the lowest polymorph of the same formula**: 0.721 eV/atom

DFT (GGA-PBE) results for an optimized crystal structure of Y2ScCl.

Cell: 3.4049 3.4049 9.2514 Å, 90.00 90.00 90.00°
With the nearest neighbours (Å) after each atom.
Space group P4mm (No. 99)
One atom of each set of equivalent atoms:
Y 0.0000 0.0000 0.0000 x1  4 Sc 3.34, 8 Y 3.40-3.57
Y 0.5000 0.5000 0.2852 x1  4 Cl 3.15, 4 Y 3.40
Sc 0.5000 0.5000 0.7505 x1  4 Cl 3.32, 4 Y 3.34, 4 Sc 3.40
Cl 0.0000 0.0000 0.5040 x1  4 Y 3.15, 4 Sc 3.32, 4 Cl 3.40

Computed properties:
**Formation energy from raw total energies**: -0.459 eV per atom
**Energy**: -22.94 eV for the cell shown
**Distance to the lowest polymorph of the same formula**: 0.172 eV/atom

DFT (GGA-PBE) results for an optimized crystal structure of YScCl2.

Cell: 3.3088 6.3116 8.9415 Å, 90.00 90.00 90.00°
With the nearest neighbours (Å) after each atom.
Space group Cmmm (No. 65)
One atom of each set of equivalent atoms:
Y 0.0000 0.0000 0.0000 x2  4 Cl 2.87
Sc 0.0000 0.0000 0.5000 x2  4 Cl 2.70
Cl 0.0000 0.5000 0.2618 x4  2 Sc 2.70, 2 Y 2.87

Computed properties:
**Formation energy from raw total energies**: -1.091 eV per atom
**Energy**: -41.71 eV for the cell shown
**Distance to the lowest polymorph of the same formula**: 0.346 eV/atom

DFT (GGA-PBE) results for an optimized crystal structure of YSc2Cl.

Cell: 4.4990 4.4990 10.0349 Å, 90.00 90.00 90.00°
With the nearest neighbours (Å) after each atom.
Space group I-4m2 (No. 119)
One atom of each set of equivalent atoms:
Y 0.0000 0.0000 0.0000 x2  8 Sc 3.18-3.37, 4 Cl 3.37
Sc 0.0000 0.0000 0.5000 x2  4 Y 3.18, 4 Cl 3.37, 4 Sc 3.37
Sc 0.0000 0.5000 0.2500 x2  4 Cl 3.18, 4 Sc 3.37, 4 Y 3.37
Cl 0.0000 0.5000 0.7500 x2  8 Sc 3.18-3.37, 4 Y 3.37

Computed properties:
**Formation energy from raw total energies**: 0.005 eV per atom
**Energy**: -41.91 eV for the cell shown
**Distance to the lowest polymorph of the same formula**: 0.609 eV/atom

DFT (GGA-PBE) results for an optimized crystal structure of Y2ScCl.

Cell: 3.5391 3.5391 28.9671 Å, 90.00 90.00 120.00°
With the nearest neighbours (Å) after each atom.
Space group R3m (No. 160, hexagonal axes)
One atom of each set of equivalent atoms:
Y 0.0000 0.0000 0.0000 x3  3 Sc 3.33, 9 Y 3.52-3.54
Y 0.0000 0.0000 0.2345 x3  3 Cl 2.99
Sc 0.0000 0.0000 0.7574 x3  3 Cl 2.84
Cl 0.0000 0.0000 0.4924 x3  3 Sc 2.84, 3 Y 2.99

Computed properties:
**Formation energy from raw total energies**: -0.609 eV per atom
**Energy**: -70.63 eV for the cell shown
**Distance to the lowest polymorph of the same formula**: 0.021 eV/atom

DFT (GGA-PBE) results for an optimized crystal structure of YSc2Cl.

Cell: 7.4392 7.4392 7.4392 Å, 90.00 90.00 90.00°
With the nearest neighbours (Å) after each atom.
Space group Fm-3m (No. 225)
One atom of each set of equivalent atoms:
Y 0.0000 0.0000 0.0000 x4  8 Sc 3.22
Sc 0.2500 0.2500 0.2500 x8  4 Cl 3.22, 4 Y 3.22
Cl 0.0000 0.0000 0.5000 x4  8 Sc 3.22

Computed properties:
**Formation energy from raw total energies**: 0.272 eV per atom
**Energy**: -79.54 eV for the cell shown
**Distance to the lowest polymorph of the same formula**: 0.876 eV/atom

DFT (GGA-PBE) results for an optimized crystal structure of YSc2Cl.

Cell: 3.3208 5.2442 5.7587 Å, 90.00 90.00 90.00°
With the nearest neighbours (Å) after each atom.
Space group Pmmm (No. 47)
One atom of each set of equivalent atoms:
Y 0.0000 0.0000 0.0000 x1  4 Cl 3.10, 2 Y 3.32, 4 Sc 3.32
Sc 0.0000 0.5000 0.5000 x1  6 Sc 3.10-3.32, 4 Cl 3.32
Sc 0.5000 0.0000 0.5000 x1  6 Sc 3.10-3.32, 4 Y 3.32
Cl 0.5000 0.5000 0.0000 x1  4 Y 3.10, 2 Cl 3.32, 4 Sc 3.32

Computed properties:
**Formation energy from raw total energies**: -0.235 eV per atom
**Energy**: -21.91 eV for the cell shown
**Distance to the lowest polymorph of the same formula**: 0.369 eV/atom

DFT (GGA-PBE) results for an optimized crystal structure of YSc2Cl.

Cell: 3.4389 3.4389 28.5991 Å, 90.00 90.00 120.00°
With the nearest neighbours (Å) after each atom.
Space group R-3m (No. 166, hexagonal axes)
One atom of each set of equivalent atoms:
Y 0.0000 0.0000 0.0000 x3  2 Sc 3.14, 6 Y 3.44
Sc 0.0000 0.0000 0.1099 x6  3 Cl 2.56
Cl 0.0000 0.0000 0.5000 x3  6 Sc 2.56

Computed properties:
**Formation energy from raw total energies**: -0.283 eV per atom
**Energy**: -66.32 eV for the cell shown
**Distance to the lowest polymorph of the same formula**: 0.321 eV/atom

DFT (GGA-PBE) results for an optimized crystal structure of YScCl2.

Cell: 3.4904 3.4904 27.3961 Å, 90.00 90.00 120.00°
With the nearest neighbours (Å) after each atom.
Space group R-3m (No. 166, hexagonal axes)
One atom of each set of equivalent atoms:
Y 0.0000 0.0000 0.0000 x3  6 Cl 2.83
Sc 0.0000 0.0000 0.5000 x3  2 Cl 2.57
Cl 0.0000 0.0000 0.4061 x6  1 Sc 2.57, 3 Y 2.83

Computed properties:
**Formation energy from raw total energies**: -1.195 eV per atom
**Energy**: -63.81 eV for the cell shown
**Distance to the lowest polymorph of the same formula**: 0.242 eV/atom